Here is an optimized crystal structure of Li2Ac2MgTl5 from Alexandria via LeMat-Bulk. Energies are from PBE.

Summary:
The calculation puts the formation energy at -264 meV per atom. Its space group is P4/mbm. Its total energy is -2.81 eV/atom. The density of states at the Fermi level comes out at 4.4 states/eV/f.u.

Lattice parameters (Å, degrees): 11.2917 11.2917 4.2356 90.00 90.00 90.00
Element x y z (fractional)
Li 0.1141 0.3859 0.0000
Li 0.3859 0.8859 0.0000
Li 0.6141 0.1141 0.0000
Li 0.8859 0.6141 0.0000
Ac 0.1819 0.6819 0.0000
Ac 0.3181 0.1819 0.0000
Ac 0.6819 0.8181 0.0000
Ac 0.8181 0.3181 0.0000
Mg 0.0000 0.0000 0.0000
Mg 0.5000 0.5000 0.0000
Tl 0.0000 0.5000 0.5000
Tl 0.0597 0.2029 0.5000
Tl 0.2029 0.9403 0.5000
Tl 0.2971 0.4403 0.5000
Tl 0.4403 0.7029 0.5000
Tl 0.5000 0.0000 0.5000
Tl 0.5597 0.2971 0.5000
Tl 0.7029 0.5597 0.5000
Tl 0.7971 0.0597 0.5000
Tl 0.9403 0.7971 0.5000

=====

Here is an optimized crystal structure of LiAcMgTl from Alexandria via LeMat-Bulk. Energies are from PBE.

Summary:
The calculation puts the formation energy at -179 meV per atom. Its space group is F-43m. Its total energy is -2.67 eV/atom. The density of states at the Fermi level comes out at 3.1 states/eV/f.u.

Lattice parameters (Å, degrees): 5.4201 5.4201 5.4201 60.00 60.00 60.00
Element x y z (fractional)
Li 0.0000 0.0000 0.0000
Ac 0.7500 0.7500 0.7500
Mg 0.2500 0.2500 0.2500
Tl 0.5000 0.5000 0.5000